Record 1
The following is a DFT calculation (PBE) of a relaxed CaPm2Ge crystal.

abc: 4.0740 4.0740 6.9612
angles: 90.00 90.00 90.00
Closest atoms and distances in Å follow each position.
Space group P4/mmm (No. 123)
Symmetry-distinct sites (fractional):
1 Ca 0.0000 0.0000 0.0000  2 Ge 3.48, 8 Pm 3.51
2 Pm 0.5000 0.5000 0.2878  1 Pm 2.95, 4 Ge 3.24
3 Ge 0.0000 0.0000 0.5000  8 Pm 3.24, 2 Ca 3.48

Values from the calculation:
Polymorph energy (0 for the lowest one) in kJ per mole of atoms: 2.6

***

Record 2
The following is a DFT calculation (PBE) of a relaxed LaTmMg6 crystal.

abc: 5.1422 7.3595 11.0683
angles: 90.00 90.00 90.00
Closest atoms and distances in Å follow each position.
Space group Amm2 (No. 38)
Symmetry-distinct sites (fractional):
1 La 0.0000 0.0000 0.0000  10 Mg 3.31-3.40
2 Tm 0.5000 0.0000 0.2666  12 Mg 3.34-3.70
3 Mg 0.0000 0.0000 0.4586  8 Mg 3.12-3.41, 2 Tm 3.34
4 Mg 0.0000 0.2157 0.7317  7 Mg 3.11-3.41, 2 La 3.31-3.37, 2 Tm 3.34
5 Mg 0.5000 0.0000 0.7989  8 Mg 3.11-3.35, 2 La 3.40
6 Mg 0.5000 0.2120 0.5336  7 Mg 3.12-3.38, 2 Tm 3.34, 2 La 3.35

***

Record 3
The following is a DFT calculation (PBE) of a relaxed Ba2AgW crystal.

abc: 8.0985 8.0985 8.0985
angles: 90.00 90.00 90.00
Closest atoms and distances in Å follow each position.
Space group Fm-3m (No. 225)
Symmetry-distinct sites (fractional):
1 Ba 0.2500 0.2500 0.2500  4 W 3.51, 4 Ag 3.51
2 Ag 0.0000 0.0000 0.0000  8 Ba 3.51
3 W 0.0000 0.0000 0.5000  8 Ba 3.51

Values from the calculation:
Polymorph energy (0 for the lowest one) in kJ per mole of atoms: 9.0

***

no.,E_form (kJ per mole of atoms),total DFT energy (no corrections) (Ha/atom)
1,-26.46,-0.158
2,-6.20,-0.089
3,95.48,-0.144